{"formula": "YHgO2F", "functional": "PBE-GGA", "state": "relaxed", "energy_ev_per_cell": -28.12, "magmom_total_mub_per_atom": 0.0551, "e_form_raw_ev_per_atom": -1.91, "cell": [[4.4726, 0.0000, 0.0000], [0.0000, 4.4726, 0.0000], [0.0000, 0.0000, 4.2980]], "species": ["Y", "Hg", "O", "O", "F"], "fractional_positions": [[0.0000, 0.0000, 0.0000], [0.5000, 0.5000, 0.5000], [0.0000, 0.5000, 0.0000], [0.5000, 0.0000, 0.0000], [0.0000, 0.0000, 0.5000]]}